# GGA-PBE RbHgB3, relaxed
data_RbHgB3
_chemical_formula_sum 'Rb1 Hg1 B3'
_symmetry_space_group_name_H-M 'P 1'
_symmetry_Int_Tables_number 1
_cell_length_a 5.771
_cell_length_b 5.771
_cell_length_c 5.771
_cell_angle_alpha 90.00
_cell_angle_beta 90.00
_cell_angle_gamma 90.00
loop_
_symmetry_equiv_pos_as_xyz
'x,y,z'
loop_
_atom_site_label
_atom_site_fract_x
_atom_site_fract_y
_atom_site_fract_z
_atom_site_occupancy
B1 0.000 0.000 0.500 1
B2 0.000 0.500 0.000 1
Rb1 0.000 0.000 0.000 1
B3 0.500 0.000 0.000 1
Hg1 0.500 0.500 0.500 1
# Space-group type: Pm-3m (221)
# Energy relative to the lowest polymorph listed for this composition: 1105.0 meV/atom
# DFT formation energy: 3243 meV per atom
# Total moment: 3.67 μB per cell